Computed, not measured: a geometry-optimized Ca2YMg structure at the PBE level of DFT.

Summary:
- electronic total energy (eV/cell) = -11.730
- N(E_F) (states/eV/atom) = 1.41
- calculated volume (Å³/atom) = 34.51
- total magnetization (μB/cell) = 0.628
- DFT formation energy (eV/atom) = 0.083

abc: 11.8712 11.8712 11.8712
angles: 17.90 17.90 17.90
Closest atoms and distances in Å follow each position.
Sites, in units of the cell vectors:
Ca  0.0000  0.0000  0.0000  3 Mg 3.52, 6 Ca 3.69, 3 Y 3.73
Ca  0.1742  0.1742  0.1742  3 Mg 3.50, 6 Ca 3.69, 3 Y 3.71
Y  0.4208  0.4208  0.4208  6 Y 3.69, 6 Ca 3.71-3.73
Mg  0.5868  0.5868  0.5868  6 Ca 3.50-3.52, 6 Mg 3.69

***

Computed, not measured: a geometry-optimized Ca2YMg structure at the PBE level of DFT.

Summary:
- electronic total energy (eV/cell) = -21.595
- N(E_F) (states/eV/atom) = 2.32
- calculated volume (Å³/atom) = 35.08
- total magnetization (μB/cell) = 0.000
- DFT formation energy (eV/atom) = 0.316

abc: 7.2603 7.2603 7.2603
angles: 102.84 102.84 123.75
Closest atoms and distances in Å follow each position.
Sites, in units of the cell vectors:
Ca  0.0939  0.1250  0.4689  2 Mg 3.13, 2 Ca 3.47
Ca  0.3750  0.9061  0.0311  2 Mg 3.13, 2 Ca 3.47
Ca  0.6561  0.6250  0.5311  2 Mg 3.13, 2 Ca 3.47
Ca  0.8750  0.3439  0.9689  2 Mg 3.13, 2 Ca 3.47
Y  0.2500  0.7500  0.5000  2 Mg 3.42, 4 Ca 3.51
Y  0.5000  0.5000  0.0000  2 Mg 3.42, 4 Ca 3.51
Mg  0.0000  0.0000  0.0000  4 Ca 3.13, 2 Y 3.42
Mg  0.7500  0.2500  0.5000  4 Ca 3.13, 2 Y 3.42

***

Computed, not measured: a geometry-optimized CaYMg2 structure at the PBE level of DFT.

Summary:
- electronic total energy (eV/cell) = -11.375
- N(E_F) (states/eV/atom) = 1.27
- calculated volume (Å³/atom) = 30.62
- total magnetization (μB/cell) = 0.001
- DFT formation energy (eV/atom) = 0.070

abc: 5.8020 5.8020 6.3129
angles: 99.56 99.56 35.83
Closest atoms and distances in Å follow each position.
Sites, in units of the cell vectors:
Ca  0.0000  0.0000  0.0000  6 Mg 3.44-3.48, 2 Ca 3.57, 4 Y 3.63
Y  0.5000  0.5000  0.5000  6 Mg 3.38-3.39, 2 Y 3.57, 4 Ca 3.63
Mg  0.2474  0.2474  0.7365  3 Y 3.38-3.39, 3 Ca 3.44-3.48, 6 Mg 3.49-3.77
Mg  0.7526  0.7526  0.2635  3 Y 3.38-3.39, 3 Ca 3.44-3.48, 6 Mg 3.49-3.77

***

Computed, not measured: a geometry-optimized CaY3Mg6 structure at the PBE level of DFT.

Summary:
- electronic total energy (eV/cell) = -63.410
- N(E_F) (states/eV/atom) = 0.88
- calculated volume (Å³/atom) = 27.19
- total magnetization (μB/cell) = 0.642
- DFT formation energy (eV/atom) = -0.074

abc: 9.3028 5.3463 11.3778
angles: 90.00 106.05 90.00
Closest atoms and distances in Å follow each position.
Sites, in units of the cell vectors:
Ca  0.0519  0.2500  0.3948  8 Mg 3.22-3.37
Ca  0.9481  0.7500  0.6052  8 Mg 3.22-3.37
Y  0.2510  0.2500  0.9967  8 Mg 3.23-3.34
Y  0.3560  0.7500  0.8003  8 Mg 3.26-3.38
Y  0.4598  0.2500  0.6055  8 Mg 3.21-3.41
Y  0.5402  0.7500  0.3945  8 Mg 3.21-3.41
Y  0.6440  0.2500  0.1997  8 Mg 3.26-3.38
Y  0.7490  0.7500  0.0033  8 Mg 3.23-3.34
Mg  0.0506  0.7500  0.9059  3 Mg 3.17-3.26, 4 Y 3.26-3.38, 1 Ca 3.29
Mg  0.1462  0.7500  0.1955  8 Mg 3.17-3.30
Mg  0.1526  0.2500  0.7017  4 Y 3.23-3.33, 3 Ca 3.29-3.36, 1 Mg 3.30
Mg  0.2515  0.7500  0.4976  4 Y 3.21-3.33, 3 Ca 3.28-3.37, 1 Mg 3.30
Mg  0.3427  0.2500  0.2934  1 Ca 3.22, 5 Y 3.25-3.41, 2 Mg 3.26
Mg  0.4407  0.7500  0.0997  1 Mg 3.22, 7 Y 3.22-3.34
Mg  0.5593  0.2500  0.9003  1 Mg 3.22, 7 Y 3.22-3.34
Mg  0.6573  0.7500  0.7066  1 Ca 3.22, 5 Y 3.25-3.41, 2 Mg 3.26
Mg  0.7485  0.2500  0.5024  4 Y 3.21-3.33, 3 Ca 3.28-3.37, 1 Mg 3.30
Mg  0.8474  0.7500  0.2983  4 Y 3.23-3.33, 3 Ca 3.29-3.36, 1 Mg 3.30
Mg  0.8538  0.2500  0.8045  8 Mg 3.17-3.30
Mg  0.9494  0.2500  0.0941  3 Mg 3.17-3.26, 4 Y 3.26-3.38, 1 Ca 3.29